## NdH4Ru (PBE-GGA)

Data for a relaxed structure of NdH4Ru.

Lattice parameters (Å, degrees): 3.9146 4.9544 6.3310 90.00 108.01 90.00
With the nearest neighbours (Å) after each atom.
Positions (direct):
Nd (0.3708, 0.7500, 0.7416)  9 H 2.43-2.72
Nd (0.6292, 0.2500, 0.2584)  9 H 2.43-2.72
H (0.1965, 0.5037, 0.3930)  1 Ru 1.69
H (0.8035, 0.4963, 0.6070)  1 Ru 1.69
H (0.1965, 0.9963, 0.3930)  1 Ru 1.69
H (0.8035, 0.0037, 0.6070)  1 Ru 1.69
H (0.5965, 0.7500, 0.1929)  2 Ru 1.96
H (0.4035, 0.2500, 0.8071)  2 Ru 1.96
H (0.0000, 0.5000, 0.0000)  2 Ru 1.72
H (0.0000, 0.0000, 0.0000)  2 Ru 1.72
Ru (0.0994, 0.7500, 0.1987)  4 H 1.69-1.72
Ru (0.9006, 0.2500, 0.8013)  4 H 1.69-1.72

Properties
Density of states at the Fermi level: 2.33 states/eV/cell
SG: Cmcm
Size of the total moment: 0.00 μB/cell
Excess energy over the best structure of this formula in the dataset: 0.0 meV/atom
ρ: 7.1 g cm⁻³

=====

## NdH10Ru3 (PBE-GGA)

Data for a relaxed structure of NdH10Ru3.

Lattice parameters (Å, degrees): 6.6246 6.6246 6.6246 60.00 60.00 60.00
With the nearest neighbours (Å) after each atom.
Positions (direct):
Nd (0.2500, 0.2500, 0.2500)  16 H 2.37-2.60
Nd (0.7500, 0.7500, 0.7500)  16 H 2.37-2.60
H (0.0000, 0.0000, 0.3302)  2 Ru 1.79
H (0.0000, 0.3302, 0.0000)  2 Ru 1.79
H (0.3302, 0.0000, 0.0000)  2 Ru 1.79
H (0.6698, 0.3302, 0.0000)  2 Ru 1.79
H (0.3958, 0.3958, 0.3958)  3 Ru 1.87, 3 H 1.95
H (0.1873, 0.6042, 0.6042)  3 Ru 1.87, 3 H 1.95
H (0.3958, 0.8127, 0.3958)  3 Ru 1.87, 3 H 1.95
H (0.6698, 0.0000, 0.3302)  2 Ru 1.79
H (0.3958, 0.3958, 0.8127)  3 Ru 1.87, 3 H 1.95
H (0.8127, 0.3958, 0.3958)  3 Ru 1.87, 3 H 1.95
H (0.6042, 0.6042, 0.1873)  3 Ru 1.87, 3 H 1.95
H (0.0000, 0.0000, 0.6698)  2 Ru 1.79
H (0.3302, 0.6698, 0.0000)  2 Ru 1.79
H (0.0000, 0.6698, 0.3302)  2 Ru 1.79
H (0.0000, 0.3302, 0.6698)  2 Ru 1.79
H (0.6698, 0.0000, 0.0000)  2 Ru 1.79
H (0.6042, 0.6042, 0.6042)  3 Ru 1.87, 3 H 1.95
H (0.0000, 0.6698, 0.0000)  2 Ru 1.79
H (0.6042, 0.1873, 0.6042)  3 Ru 1.87, 3 H 1.95
H (0.3302, 0.0000, 0.6698)  2 Ru 1.79
Ru (0.7393, 0.7393, 0.2607)  8 H 1.79-1.87
Ru (0.7393, 0.2607, 0.7393)  8 H 1.79-1.87
Ru (0.2607, 0.7393, 0.7393)  8 H 1.79-1.87
Ru (0.2607, 0.2607, 0.7393)  8 H 1.79-1.87
Ru (0.7393, 0.2607, 0.2607)  8 H 1.79-1.87
Ru (0.2607, 0.7393, 0.2607)  8 H 1.79-1.87

Properties
Density of states at the Fermi level: 12.15 states/eV/cell
SG: Fm-3m
Size of the total moment: 0.00 μB/cell
ρ: 7.4 g cm⁻³
Uncorrected energy: -135.15 eV per cell